No. 1
DFT (GGA-PBE) results for crystalline ScGa3Pt3 at its relaxed geometry.

Geometry as CIF:
```
data_ScGa3Pt3
_space_group_name_H-M_alt 'P m -3 n'
_space_group_IT_number 223
_space_group_name_Hall '-P 4n 2 3'
_cell_length_a 6.8149
_cell_length_b 6.8149
_cell_length_c 6.8149
_cell_angle_alpha 90.00
_cell_angle_beta 90.00
_cell_angle_gamma 90.00
loop_
_atom_site_label
_atom_site_fract_x
_atom_site_fract_y
_atom_site_fract_z
_atom_site_occupancy
Sc1 0.0000 0.0000 0.0000 1
Ga1 0.0000 0.2500 0.5000 1
Pt1 0.0000 0.5000 0.2500 1
```

Output
- Crystal system: cubic
- Relative energy among the computed polymorphs: 643 meV/atom
- E_form: -18 kJ/mol of atoms

---

No. 2
DFT (GGA-PBE) results for crystalline Sc4GaPt at its relaxed geometry.

Geometry as CIF:
```
data_Sc4GaPt
_space_group_name_H-M_alt 'R -3 m'
_space_group_IT_number 166
_space_group_name_Hall '-R 3 2"'
_cell_length_a 4.5917
_cell_length_b 4.5917
_cell_length_c 22.7793
_cell_angle_alpha 90.00
_cell_angle_beta 90.00
_cell_angle_gamma 120.00
loop_
_atom_site_label
_atom_site_fract_x
_atom_site_fract_y
_atom_site_fract_z
_atom_site_occupancy
Sc1 0.0000 0.0000 0.1204 1
Sc2 0.0000 0.0000 0.3718 1
Ga1 0.0000 0.0000 0.5000 1
Pt1 0.0000 0.0000 0.0000 1
```

Output
- Crystal system: trigonal
- E_form: -54 kJ/mol of atoms

---

No. 3
DFT (GGA-PBE) results for crystalline Sc6Ga3Pt at its relaxed geometry.

Geometry as CIF:
```
data_Sc6Ga3Pt
_space_group_name_H-M_alt 'P n n m'
_space_group_IT_number 58
_cell_length_a 8.1643
_cell_length_b 10.7826
_cell_length_c 4.7052
_cell_angle_alpha 90.00
_cell_angle_beta 90.00
_cell_angle_gamma 90.00
loop_
_space_group_symop_operation_xyz
'x,y,z'
'-x,-y,-z'
'-x,-y,z'
'x,y,-z'
'x+1/2,-y+1/2,-z+1/2'
'-x+1/2,y+1/2,z+1/2'
'-x+1/2,y+1/2,-z+1/2'
'x+1/2,-y+1/2,z+1/2'
loop_
_atom_site_label
_atom_site_fract_x
_atom_site_fract_y
_atom_site_fract_z
_atom_site_occupancy
Sc1 0.0059 0.2455 0.0000 1
Sc2 0.1647 0.0883 0.5000 1
Sc3 0.1737 0.4080 0.5000 1
Ga1 0.0000 0.5000 0.0000 1
Ga2 0.1609 0.7369 0.5000 1
Pt1 0.0000 0.0000 0.0000 1
```

Output
- Crystal system: orthorhombic
- Relative energy among the computed polymorphs: 24 meV/atom
- E_form: -58 kJ/mol of atoms

---

No. 4
DFT (GGA-PBE) results for crystalline ScGaPt3 at its relaxed geometry.

Geometry as CIF:
```
data_ScGaPt3
_space_group_name_H-M_alt 'P m m n'
_space_group_IT_number 59
_cell_length_a 4.4957
_cell_length_b 5.5813
_cell_length_c 6.9246
_cell_angle_alpha 90.00
_cell_angle_beta 90.00
_cell_angle_gamma 90.00
loop_
_space_group_symop_operation_xyz
'x,y,z'
'-x,-y,-z'
'-x+1/2,-y+1/2,z'
'x+1/2,y+1/2,-z'
'x+1/2,-y,-z'
'-x+1/2,y,z'
'-x,y+1/2,-z'
'x,-y+1/2,z'
loop_
_atom_site_label
_atom_site_fract_x
_atom_site_fract_y
_atom_site_fract_z
_atom_site_occupancy
Sc1 0.2500 0.2500 0.1508 1
Ga1 0.2500 0.7500 0.4363 1
Pt1 0.2500 0.0091 0.7296 1
Pt2 0.2500 0.7500 0.0814 1
```

Output
- Crystal system: orthorhombic
- Relative energy among the computed polymorphs: 0 meV/atom
- E_form: -85 kJ/mol of atoms